This record from Alexandria via LeMat-Bulk describes an optimized crystal structure of YTaP. The functional is PBEsol.

Calculated values
Its density of states at the Fermi level is 1.8 states/eV/cell. The density comes out at 8.6 Mg/m³. As for the formation enthalpy at 0 K: -590 meV/atom. For the total magnetic moment, the calculation gives 0.00 Bohr magnetons per cell. For the total energy, the calculation gives -26.935 eV per cell.

Cell lengths 3.334, 3.334, 5.735 Å; angles 106.90, 106.90, 90.00 degrees
Positions (direct):
Y  0.667  0.667  0.334
Ta  0.370  0.370  0.741
P  0.963  0.963  0.925



This record from Alexandria via LeMat-Bulk describes an optimized crystal structure of Y2TaP. The functional is PBEsol.

Calculated values
Its density of states at the Fermi level is 3.3 states/eV/cell. The density comes out at 8.1 Mg/m³. As for the formation enthalpy at 0 K: 207 meV/atom. For the total magnetic moment, the calculation gives 1.90 Bohr magnetons per cell. For the total energy, the calculation gives -31.160 eV per cell.

Cell lengths 4.825, 4.825, 4.825 Å; angles 60.00, 60.00, 60.00 degrees
Last column: magnetic moment on the atom in μB.
Positions (direct):
Ta  0.750  0.750  0.750  0.78
Y  0.000  0.000  0.000  0.60
Y  0.250  0.250  0.250  0.11
P  0.500  0.500  0.500  -0.01



This record from Alexandria via LeMat-Bulk describes an optimized crystal structure of Y2TaP. The functional is PBEsol.

Calculated values
Its density of states at the Fermi level is 4.0 states/eV/cell. The density comes out at 6.8 Mg/m³. As for the formation enthalpy at 0 K: -255 meV/atom. For the total magnetic moment, the calculation gives 0.00 Bohr magnetons per cell. For the total energy, the calculation gives -33.008 eV per cell.

Cell lengths 3.356, 3.731, 8.036 Å; angles 103.42, 102.05, 90.00 degrees
Positions (direct):
P  0.500  0.000  0.000
Y  0.840  0.840  0.680
Y  0.160  0.160  0.320
Ta  0.000  0.500  0.000



This record from Alexandria via LeMat-Bulk describes an optimized crystal structure of TaZnP. The functional is PBEsol.

Calculated values
Its density of states at the Fermi level is 2.4 states/eV/cell. The density comes out at 9.4 Mg/m³. As for the formation enthalpy at 0 K: 61 meV/atom. For the total magnetic moment, the calculation gives 0.00 Bohr magnetons per cell. For the total energy, the calculation gives -19.741 eV per cell.

Cell lengths 3.312, 4.138, 4.138 Å; angles 120.00, 90.00, 90.00 degrees
Positions (direct):
P  0.833  0.000  0.000
Zn  0.333  0.667  0.333
Ta  0.833  0.333  0.667



This record from Alexandria via LeMat-Bulk describes an optimized crystal structure of TaZnP2. The functional is PBEsol.

Calculated values
Its density of states at the Fermi level is 1.4 states/eV/cell. The density comes out at 9.0 Mg/m³. As for the formation enthalpy at 0 K: -138 meV/atom. For the total magnetic moment, the calculation gives 0.00 Bohr magnetons per cell. For the total energy, the calculation gives -26.269 eV per cell.

Cell lengths 3.432, 4.513, 4.643 Å; angles 119.08, 111.69, 90.00 degrees
Positions (direct):
Zn  0.000  0.500  0.000
P  0.271  0.271  0.543
P  0.729  0.729  0.457
Ta  0.500  0.000  0.000



This record from Alexandria via LeMat-Bulk describes an optimized crystal structure of TaZn2P. The functional is PBEsol.

Calculated values
Its density of states at the Fermi level is 1.6 states/eV/cell. The density comes out at 9.7 Mg/m³. As for the formation enthalpy at 0 K: -4 meV/atom. For the total magnetic moment, the calculation gives 0.00 Bohr magnetons per cell. For the total energy, the calculation gives -21.520 eV per cell.

Cell lengths 2.688, 4.683, 4.774 Å; angles 90.00, 102.03, 90.00 degrees
Positions (direct):
Ta  0.000  0.500  0.500
P  0.500  0.500  0.000
Zn  0.602  0.000  0.756
Zn  0.398  0.000  0.244



This record from Alexandria via LeMat-Bulk describes an optimized crystal structure of TaZn2P. The functional is PBEsol.

Calculated values
Its density of states at the Fermi level is 2.0 states/eV/cell. The density comes out at 9.3 Mg/m³. As for the formation enthalpy at 0 K: 212 meV/atom. For the total magnetic moment, the calculation gives 0.00 Bohr magnetons per cell. For the total energy, the calculation gives -20.658 eV per cell.

Cell lengths 2.760, 2.760, 8.239 Å; angles 90.00, 90.00, 102.49 degrees
Positions (direct):
P  0.500  0.500  0.500
Ta  0.500  0.500  0.000
Zn  0.000  0.000  0.256
Zn  0.000  0.000  0.744



This record from Alexandria via LeMat-Bulk describes an optimized crystal structure of TaZn2P. The functional is PBEsol.

Calculated values
Its density of states at the Fermi level is 1.7 states/eV/cell. The density comes out at 9.5 Mg/m³. As for the formation enthalpy at 0 K: 5 meV/atom. For the total magnetic moment, the calculation gives 0.00 Bohr magnetons per cell. For the total energy, the calculation gives -21.487 eV per cell.

Cell lengths 3.472, 3.473, 4.954 Å; angles 90.00, 90.00, 90.00 degrees
Positions (direct):
Ta  0.500  0.500  0.500
Zn  0.000  0.000  0.248
Zn  0.000  0.000  0.752
P  0.500  0.500  0.000



This record from Alexandria via LeMat-Bulk describes an optimized crystal structure of ZrTa2P. The functional is PBEsol.

Calculated values
Its density of states at the Fermi level is 3.3 states/eV/cell. The density comes out at 11.8 Mg/m³. As for the formation enthalpy at 0 K: -422 meV/atom. For the total magnetic moment, the calculation gives 0.00 Bohr magnetons per cell. For the total energy, the calculation gives -41.671 eV per cell.

Cell lengths 3.358, 3.358, 6.056 Å; angles 90.00, 90.00, 90.00 degrees
Positions (direct):
Ta  0.000  0.000  0.979
Ta  0.500  0.500  0.234
Zr  0.000  0.000  0.515
P  0.500  0.500  0.772



This record from Alexandria via LeMat-Bulk describes an optimized crystal structure of ZrTa2P. The functional is PBEsol.

Calculated values
Its density of states at the Fermi level is 2.5 states/eV/cell. The density comes out at 11.9 Mg/m³. As for the formation enthalpy at 0 K: -298 meV/atom. For the total magnetic moment, the calculation gives 0.00 Bohr magnetons per cell. For the total energy, the calculation gives -41.177 eV per cell.

Cell lengths 3.535, 4.267, 4.466 Å; angles 90.00, 90.00, 90.00 degrees
Positions (direct):
P  0.000  0.500  0.500
Ta  0.500  0.500  0.000
Ta  0.000  0.000  0.000
Zr  0.500  0.000  0.500



This record from Alexandria via LeMat-Bulk describes an optimized crystal structure of ZrTa2P. The functional is PBEsol.

Calculated values
Its density of states at the Fermi level is 2.2 states/eV/cell. The density comes out at 11.8 Mg/m³. As for the formation enthalpy at 0 K: -322 meV/atom. For the total magnetic moment, the calculation gives 0.00 Bohr magnetons per cell. For the total energy, the calculation gives -41.269 eV per cell.

Cell lengths 3.369, 3.369, 6.001 Å; angles 90.00, 90.00, 90.00 degrees
Positions (direct):
P  0.500  0.500  0.500
Ta  0.000  0.000  0.284
Ta  0.000  0.000  0.716
Zr  0.500  0.500  0.000



This record from Alexandria via LeMat-Bulk describes an optimized crystal structure of ZrTa2P. The functional is PBEsol.

Calculated values
Its density of states at the Fermi level is 2.7 states/eV/cell. The density comes out at 11.8 Mg/m³. As for the formation enthalpy at 0 K: -327 meV/atom. For the total magnetic moment, the calculation gives 0.00 Bohr magnetons per cell. For the total energy, the calculation gives -41.289 eV per cell.

Cell lengths 3.243, 4.696, 4.923 Å; angles 104.10, 109.23, 90.00 degrees
Positions (direct):
P  0.500  0.000  0.000
Zr  0.000  0.500  0.000
Ta  0.228  0.219  0.456
Ta  0.772  0.781  0.544



This record from Alexandria via LeMat-Bulk describes an optimized crystal structure of ZrTaP2. The functional is PBEsol.

Calculated values
Its density of states at the Fermi level is 1.6 states/eV/cell. The density comes out at 7.6 Mg/m³. As for the formation enthalpy at 0 K: -209 meV/atom. For the total magnetic moment, the calculation gives 0.00 Bohr magnetons per cell. For the total energy, the calculation gives -34.059 eV per cell.

Cell lengths 2.970, 2.970, 8.616 Å; angles 90.00, 90.00, 105.02 degrees
Positions (direct):
P  0.500  0.500  0.710
P  0.000  0.000  0.032
Ta  0.000  0.000  0.517
Zr  0.500  0.500  0.241



This record from Alexandria via LeMat-Bulk describes an optimized crystal structure of TbP. The functional is PBEsol.

Calculated values
Its density of states at the Fermi level is 0.2 states/eV/cell. The density comes out at 7.1 Mg/m³. As for the formation enthalpy at 0 K: -1630 meV/atom. For the total magnetic moment, the calculation gives 0.00 Bohr magnetons per cell. For the total energy, the calculation gives -14.062 eV per cell.

Cell lengths 3.974, 3.974, 3.974 Å; angles 60.00, 60.00, 60.00 degrees
Positions (direct):
P  0.000  0.000  0.000
Tb  0.500  0.500  0.500